Material: MnV2TcO8
Method: DFT, PBE+U
State: relaxed

Output
* M_tot: 16.0 μB/cell
* calculated volume: 10.7 Å³/atom
* DFT total energy: -7.75 eV/atom

CIF file:
```
data_MnV2TcO8
_space_group_name_H-M_alt 'C m m m'
_space_group_IT_number 65
_space_group_name_Hall '-C 2 2'
_cell_length_a 6.4305
_cell_length_b 6.4784
_cell_length_c 6.1831
_cell_angle_alpha 90.00
_cell_angle_beta 90.00
_cell_angle_gamma 90.00
loop_
_atom_site_label
_atom_site_type_symbol
_atom_site_fract_x
_atom_site_fract_y
_atom_site_fract_z
Mn1 Mn 0.0000 0.0000 0.0000
V1 V 0.0000 0.5000 0.2444
Tc1 Tc 0.0000 0.0000 0.5000
O1 O 0.0000 0.2054 0.2685
O2 O 0.1933 0.5000 0.0000
O3 O 0.1993 0.5000 0.5000
```